1.
Computed, not measured: a geometry-optimized PmReTe structure at the PBE level of DFT.

Properties
Magnetic moment: 0.567 μB per atom
Symmetry: F-43m (216)
Uncorrected energy: -18.5 eV/cell

abc: 4.787 4.787 4.787
angles: 60.00 60.00 60.00
Element x y z (fractional)
1 Pm 0.000 0.000 0.000
2 Re 0.500 0.500 0.500
3 Te 0.250 0.250 0.250

2.
Computed, not measured: a geometry-optimized TmGaBiSe3 structure at the PBE level of DFT.

Properties
Magnetic moment: 0.002 μB per atom
Symmetry: Cmcm (63)
Uncorrected energy: -54.0 eV/cell

abc: 7.382 7.382 11.421
angles: 90.00 90.00 149.13
Element x y z (fractional)
1 Tm 0.000 0.000 0.000
2 Tm 0.000 0.000 0.500
3 Ga 0.342 0.658 0.750
4 Ga 0.658 0.342 0.250
5 Bi 0.333 0.667 0.250
6 Bi 0.667 0.333 0.750
7 Se 0.026 0.974 0.250
8 Se 0.360 0.640 0.000
9 Se 0.360 0.640 0.500
10 Se 0.640 0.360 0.000
11 Se 0.640 0.360 0.500
12 Se 0.974 0.026 0.750

3.
Computed, not measured: a geometry-optimized TmSiPd2 structure at the PBE level of DFT.

Properties
Magnetic moment: 0.002 μB per atom
Symmetry: Pmc2_1 (26)
Uncorrected energy: -46.8 eV/cell

abc: 4.063 7.113 4.923
angles: 90.00 90.00 90.00
Element x y z (fractional)
1 Tm 0.000 0.174 0.000
2 Tm 0.000 0.826 0.500
3 Si 0.500 0.450 0.739
4 Si 0.500 0.550 0.239
5 Pd 0.000 0.406 0.468
6 Pd 0.000 0.594 0.968
7 Pd 0.500 0.120 0.537
8 Pd 0.500 0.880 0.037

4.
Computed, not measured: a geometry-optimized LuBiPb structure at the PBE level of DFT.

Properties
Magnetic moment: 0.000 μB per atom
Symmetry: F-43m (216)
Uncorrected energy: -12.2 eV/cell

abc: 5.282 5.282 5.282
angles: 60.00 60.00 60.00
Element x y z (fractional)
1 Lu 0.000 0.000 0.000
2 Bi 0.250 0.250 0.250
3 Pb 0.500 0.500 0.500